(1)
# RbTcSCl2

RbTcSCl2 after structural relaxation (GGA-PBEsol, Alexandria).

abc: 5.251 5.569 5.569
angles: 90.00 90.00 90.00
Each line ends with the local moment (μB).
Fractional positions:
Tc1 0.500 0.500 0.500  4.29
Rb1 0.000 0.000 0.000  0.01
Cl1 0.000 0.500 0.000  0.06
S1 0.500 0.000 0.000  0.16
Cl2 0.000 0.000 0.500  0.06

## Properties
DOS at the Fermi energy in states/eV/f.u.: 3.81
V in Å³ per cell: 162.8
Space group: P4/mmm (123)
ΔE_f (raw) in eV/atom: 1.092

***

(2)
# Rb3SbCl

Rb3SbCl after structural relaxation (GGA-PBEsol, Alexandria).

abc: 6.086 6.086 6.086
angles: 90.00 90.00 90.00
Each line ends with the local moment (μB).
Fractional positions:
Rb1 0.000 0.500 0.000  0.00
Cl1 0.000 0.000 0.000  0.00
Sb1 0.500 0.500 0.500  0.32
Rb2 0.500 0.000 0.000  0.00
Rb3 0.000 0.000 0.500  0.00

## Properties
DOS at the Fermi energy in states/eV/f.u.: 3.61
V in Å³ per cell: 225.5
Space group: Pm-3m (221)
ΔE_f (raw) in eV/atom: -0.800

***

(3)
# RbSb2Cl2

RbSb2Cl2 after structural relaxation (GGA-PBEsol, Alexandria).

abc: 3.184 9.565 9.565
angles: 90.00 90.00 90.00
Fractional positions:
Cl1 0.000 0.876 0.624
Rb1 0.000 0.000 0.000
Rb2 0.000 0.500 0.500
Cl2 0.000 0.624 0.124
Cl3 0.000 0.124 0.376
Sb1 0.500 0.713 0.787
Sb2 0.500 0.787 0.287
Cl4 0.000 0.376 0.876
Sb3 0.500 0.287 0.213
Sb4 0.500 0.213 0.713

## Properties
DOS at the Fermi energy in states/eV/f.u.: 2.73
V in Å³ per cell: 291.3
Space group: P4/mbm (127)
ΔE_f (raw) in eV/atom: -0.238

***

(4)
# Rb2TlSbCl6

Rb2TlSbCl6 after structural relaxation (GGA-PBEsol, Alexandria).

abc: 7.866 7.866 7.866
angles: 60.00 60.00 60.00
Fractional positions:
Rb1 0.750 0.750 0.750
Cl1 0.236 0.764 0.236
Sb1 0.000 0.000 0.000
Cl2 0.236 0.236 0.764
Tl1 0.500 0.500 0.500
Cl3 0.764 0.236 0.236
Cl4 0.764 0.236 0.764
Cl5 0.764 0.764 0.236
Rb2 0.250 0.250 0.250
Cl6 0.236 0.764 0.764

## Properties
V in Å³ per cell: 344.2
Space group: Fm-3m (225)
ΔE_f (raw) in eV/atom: -1.304

***

(5)
# RbSc2Cl

RbSc2Cl after structural relaxation (GGA-PBEsol, Alexandria).

abc: 5.300 5.300 5.300
angles: 60.00 60.00 60.00
Fractional positions:
Sc1 0.750 0.750 0.750
Cl1 0.000 0.000 0.000
Sc2 0.250 0.250 0.250
Rb1 0.500 0.500 0.500

## Properties
DOS at the Fermi energy in states/eV/f.u.: 5.98
V in Å³ per cell: 105.2
Space group: Fm-3m (225)
ΔE_f (raw) in eV/atom: 0.622

***

(6)
# Rb3ScCl6

Rb3ScCl6 after structural relaxation (GGA-PBEsol, Alexandria).

abc: 7.758 7.758 7.758
angles: 60.00 60.00 60.00
Fractional positions:
Rb1 0.750 0.750 0.750
Cl1 0.224 0.224 0.776
Cl2 0.224 0.776 0.776
Rb2 0.500 0.500 0.500
Cl3 0.776 0.776 0.224
Cl4 0.776 0.224 0.224
Cl5 0.776 0.224 0.776
Cl6 0.224 0.776 0.224
Sc1 0.000 0.000 0.000
Rb3 0.250 0.250 0.250

## Properties
DOS at the Fermi energy in states/eV/f.u.: 0.00
V in Å³ per cell: 330.1
Space group: Fm-3m (225)
ΔE_f (raw) in eV/atom: -2.012

***

(7)
# Rb2ScTlCl6

Rb2ScTlCl6 after structural relaxation (GGA-PBEsol, Alexandria).

abc: 7.683 7.683 7.683
angles: 60.00 60.00 60.00
Fractional positions:
Cl1 0.773 0.227 0.227
Rb1 0.750 0.750 0.750
Rb2 0.250 0.250 0.250
Cl2 0.227 0.227 0.773
Cl3 0.773 0.773 0.227
Cl4 0.773 0.227 0.773
Sc1 0.000 0.000 0.000
Cl5 0.227 0.773 0.227
Tl1 0.500 0.500 0.500
Cl6 0.227 0.773 0.773

## Properties
DOS at the Fermi energy in states/eV/f.u.: 0.00
V in Å³ per cell: 320.7
Space group: Fm-3m (225)
ΔE_f (raw) in eV/atom: -1.816

***

(8)
# Rb2SeCl6

Rb2SeCl6 after structural relaxation (GGA-PBEsol, Alexandria).

abc: 7.048 7.048 7.048
angles: 60.00 60.00 60.00
Fractional positions:
Cl1 0.759 0.241 0.241
Cl2 0.241 0.759 0.759
Cl3 0.759 0.759 0.241
Rb1 0.250 0.250 0.250
Cl4 0.759 0.241 0.759
Cl5 0.241 0.241 0.759
Se1 0.000 0.000 0.000
Rb2 0.750 0.750 0.750
Cl6 0.241 0.759 0.241

## Properties
DOS at the Fermi energy in states/eV/f.u.: 0.00
V in Å³ per cell: 247.6
Space group: Fm-3m (225)
ΔE_f (raw) in eV/atom: -1.150

***

| no. | total moment (Bohr magnetons per cell) | total energy (eV per cell) |
| --- | --- | --- |
| 1 | 5.191 | -15.23 |
| 2 | 1.032 | -13.64 |
| 3 | 0.000 | -30.69 |
| 4 | 0.000 | -34.32 |
| 5 | 0.004 | -13.76 |
| 6 | 0.000 | -41.85 |
| 7 | 0.000 | -41.49 |
| 8 | 0.000 | -28.30 |